Record 1
DFT (PBE) results for crystalline ZnFe2WN at its relaxed geometry.

## Properties
For the total DFT energy (no corrections), the calculation gives -39.6 eV per cell. The formation energy from raw total energies comes out at -0.02 eV/atom. For the volume, the calculation gives 12.1 Å³ per atom. The size of the total moment comes out at 0.88 μB per atom.

abc: 3.853 3.853 4.069
angles: 90.00 90.00 90.00
Space group P4/mmm (No. 123)
Asymmetric unit:
1 Zn 0.000 0.000 0.000
2 Fe 0.000 0.500 0.500
3 W 0.500 0.500 0.000
4 N 0.500 0.500 0.500

Record 2
DFT (PBE) results for crystalline YFeN2 at its relaxed geometry.

## Properties
For the total DFT energy (no corrections), the calculation gives -135.6 eV per cell. The formation energy from raw total energies comes out at -0.58 eV/atom. For the volume, the calculation gives 13.1 Å³ per atom. The size of the total moment comes out at 0.00 μB per atom.

abc: 4.628 4.628 9.802
angles: 90.00 90.00 90.00
Space group I-42d (No. 122)
Asymmetric unit:
1 Y 0.000 0.000 0.000
2 Fe 0.000 0.000 0.500
3 N 0.167 0.250 0.625

Record 3
DFT (PBE) results for crystalline YFeN2 at its relaxed geometry.

## Properties
For the total DFT energy (no corrections), the calculation gives -97.8 eV per cell. The formation energy from raw total energies comes out at -0.25 eV/atom. For the volume, the calculation gives 15.8 Å³ per atom. The size of the total moment comes out at 0.02 μB per atom.

abc: 3.6379 3.6379 16.5825
angles: 90.00 90.00 120.00
Space group R-3m (No. 166, hexagonal axes)
Asymmetric unit:
1 Y 0.0000 0.0000 0.0000
2 Fe 0.0000 0.0000 0.5000
3 N 0.0000 0.0000 0.3982

Record 4
DFT (PBE) results for crystalline YFe2N at its relaxed geometry.

## Properties
The value obtained for the excess energy over the best structure of this formula in the dataset is 0.00 kJ/mol of atoms. For the total DFT energy (no corrections), the calculation gives -128.7 eV per cell. The formation energy from raw total energies comes out at -0.11 eV/atom. For the volume, the calculation gives 13.7 Å³ per atom. The size of the total moment comes out at 0.00 μB per atom.

abc: 6.528 6.528 5.158
angles: 90.00 90.00 90.00
Space group I-42d (No. 122)
Asymmetric unit:
1 Y 0.000 0.000 0.000
2 Fe 0.092 0.250 0.625
3 N 0.000 0.000 0.500

Record 5
DFT (PBE) results for crystalline Y2Fe3N4 at its relaxed geometry.

## Properties
For the total DFT energy (no corrections), the calculation gives -308.9 eV per cell. The formation energy from raw total energies comes out at -0.62 eV/atom. For the volume, the calculation gives 12.4 Å³ per atom. The size of the total moment comes out at 0.09 μB per atom.

abc: 9.840 7.297 6.461
angles: 90.00 105.79 90.00
Space group C2/c (No. 15)
Asymmetric unit:
1 Y 0.204 0.107 0.236
2 Fe 0.000 0.241 0.750
3 Fe 0.032 0.371 0.425
4 N 0.116 0.166 0.563
5 N 0.130 0.406 0.983

Record 6
DFT (PBE) results for crystalline YFe2N at its relaxed geometry.

## Properties
The value obtained for the excess energy over the best structure of this formula in the dataset is 120.08 kJ/mol of atoms. For the total DFT energy (no corrections), the calculation gives -108.7 eV per cell. The formation energy from raw total energies comes out at 1.13 eV/atom. For the volume, the calculation gives 13.4 Å³ per atom. The size of the total moment comes out at 1.06 μB per atom.

abc: 5.989 5.989 5.989
angles: 90.00 90.00 90.00
Space group Fm-3m (No. 225)
Asymmetric unit:
1 Y 0.000 0.000 0.000
2 Fe 0.250 0.250 0.250
3 N 0.000 0.000 0.500

Record 7
DFT (PBE) results for crystalline Y2Fe2N at its relaxed geometry.

## Properties
The value obtained for the excess energy over the best structure of this formula in the dataset is 18.37 kJ/mol of atoms. For the total DFT energy (no corrections), the calculation gives -71.1 eV per cell. The formation energy from raw total energies comes out at 0.53 eV/atom. For the volume, the calculation gives 16.9 Å³ per atom. The size of the total moment comes out at 0.73 μB per atom.

abc: 6.466 6.466 4.032
angles: 90.00 90.00 90.00
Space group P4/mbm (No. 127)
Asymmetric unit:
1 Y 0.182 0.318 0.000
2 Fe 0.124 0.624 0.500
3 N 0.000 0.000 0.500

Record 8
DFT (PBE) results for crystalline YFe3N at its relaxed geometry.

## Properties
The value obtained for the excess energy over the best structure of this formula in the dataset is 280.96 kJ/mol of atoms. For the total DFT energy (no corrections), the calculation gives -25.7 eV per cell. The formation energy from raw total energies comes out at 2.89 eV/atom. For the volume, the calculation gives 21.6 Å³ per atom. The size of the total moment comes out at 1.62 μB per atom.

abc: 4.762 4.762 4.762
angles: 90.00 90.00 90.00
Space group Pm-3m (No. 221)
Asymmetric unit:
1 Y 0.000 0.000 0.000
2 Fe 0.000 0.000 0.500
3 N 0.500 0.500 0.500

Record 9
DFT (PBE) results for crystalline YFe3N at its relaxed geometry.

## Properties
The value obtained for the excess energy over the best structure of this formula in the dataset is 0.00 kJ/mol of atoms. For the total DFT energy (no corrections), the calculation gives -40.3 eV per cell. The formation energy from raw total energies comes out at -0.02 eV/atom. For the volume, the calculation gives 11.9 Å³ per atom. The size of the total moment comes out at 0.00 μB per atom.

abc: 3.908 3.908 3.908
angles: 90.00 90.00 90.00
Space group Pm-3m (No. 221)
Asymmetric unit:
1 Y 0.000 0.000 0.000
2 Fe 0.000 0.500 0.500
3 N 0.500 0.500 0.500

Record 10
DFT (PBE) results for crystalline Y2Fe2N at its relaxed geometry.

## Properties
The value obtained for the excess energy over the best structure of this formula in the dataset is 0.00 kJ/mol of atoms. For the total DFT energy (no corrections), the calculation gives -73.0 eV per cell. The formation energy from raw total energies comes out at 0.34 eV/atom. For the volume, the calculation gives 17.6 Å³ per atom. The size of the total moment comes out at 0.07 μB per atom.

abc: 5.309 5.309 6.253
angles: 90.00 90.00 90.00
Space group I4/mmm (No. 139)
Asymmetric unit:
1 Y 0.000 0.500 0.250
2 Fe 0.000 0.000 0.219
3 N 0.000 0.000 0.500

Record 11
DFT (PBE) results for crystalline YFeN2 at its relaxed geometry.

## Properties
For the total DFT energy (no corrections), the calculation gives -125.8 eV per cell. The formation energy from raw total energies comes out at 0.03 eV/atom. For the volume, the calculation gives 10.8 Å³ per atom. The size of the total moment comes out at 0.25 μB per atom.

abc: 5.573 5.573 5.573
angles: 90.00 90.00 90.00
Space group Fm-3m (No. 225)
Asymmetric unit:
1 Y 0.000 0.000 0.000
2 Fe 0.000 0.000 0.500
3 N 0.250 0.250 0.250

Record 12
DFT (PBE) results for crystalline Zn2Fe6N at its relaxed geometry.

## Properties
For the total DFT energy (no corrections), the calculation gives -57.7 eV per cell. The formation energy from raw total energies comes out at 0.44 eV/atom. For the volume, the calculation gives 14.2 Å³ per atom. The size of the total moment comes out at 1.58 μB per atom.

abc: 6.0573 6.0573 4.0173
angles: 90.00 90.00 120.00
Space group P-31m (No. 162)
Asymmetric unit:
1 Zn 0.3333 0.6667 0.0000
2 Fe 0.0000 0.2577 0.7699
3 N 0.0000 0.0000 0.5000

Record 13
DFT (PBE) results for crystalline ZnFeN3 at its relaxed geometry.

## Properties
For the total DFT energy (no corrections), the calculation gives -28.2 eV per cell. The formation energy from raw total energies comes out at 1.29 eV/atom. For the volume, the calculation gives 9.8 Å³ per atom. The size of the total moment comes out at 0.00 μB per atom.

abc: 3.662 3.662 3.662
angles: 90.00 90.00 90.00
Space group Pm-3m (No. 221)
Asymmetric unit:
1 Zn 0.000 0.000 0.000
2 Fe 0.500 0.500 0.500
3 N 0.000 0.500 0.500

Record 14
DFT (PBE) results for crystalline Zn8Fe3N8 at its relaxed geometry.

## Properties
For the total DFT energy (no corrections), the calculation gives -196.5 eV per cell. The formation energy from raw total energies comes out at 0.21 eV/atom. For the volume, the calculation gives 14.7 Å³ per atom. The size of the total moment comes out at 0.51 μB per atom.

abc: 21.358 3.442 8.136
angles: 90.00 111.17 90.00
Space group C2/m (No. 12)
Asymmetric unit:
1 Zn 0.056 0.000 0.305
2 Zn 0.084 0.500 0.792
3 Zn 0.182 0.500 0.362
4 Zn 0.201 0.000 0.061
5 Fe 0.000 0.500 0.000
6 Fe 0.182 0.000 0.675
7 N 0.011 0.500 0.239
8 N 0.133 0.000 0.818
9 N 0.156 0.000 0.434
10 N 0.229 0.500 0.187

Record 15
DFT (PBE) results for crystalline ZnFe2N2 at its relaxed geometry.

## Properties
For the total DFT energy (no corrections), the calculation gives -32.4 eV per cell. The formation energy from raw total energies comes out at 0.48 eV/atom. For the volume, the calculation gives 12.3 Å³ per atom. The size of the total moment comes out at 0.68 μB per atom.

abc: 3.538 3.538 4.913
angles: 90.00 90.00 90.00
Space group P-4m2 (No. 115)
Asymmetric unit:
1 Zn 0.000 0.000 0.000
2 Fe 0.500 0.500 0.265
3 N 0.000 0.500 0.741

Record 16
DFT (PBE) results for crystalline ZnFe4N at its relaxed geometry.

## Properties
For the total DFT energy (no corrections), the calculation gives -174.9 eV per cell. The formation energy from raw total energies comes out at -0.05 eV/atom. For the volume, the calculation gives 10.9 Å³ per atom. The size of the total moment comes out at 1.28 μB per atom.

abc: 11.544 4.669 5.080
angles: 90.00 106.67 90.00
Space group C2/c (No. 15)
Asymmetric unit:
1 Zn 0.000 0.093 0.250
2 Fe 0.093 0.417 0.946
3 Fe 0.203 0.085 0.647
4 N 0.250 0.250 0.000

Record 17
DFT (PBE) results for crystalline Zn3FeN3 at its relaxed geometry.

## Properties
For the total DFT energy (no corrections), the calculation gives -72.1 eV per cell. The formation energy from raw total energies comes out at 0.18 eV/atom. For the volume, the calculation gives 14.7 Å³ per atom. The size of the total moment comes out at 0.51 μB per atom.

abc: 8.3190 8.3190 3.4265
angles: 90.00 90.00 120.00
Space group P6_3/m (No. 176)
Asymmetric unit:
1 Zn 0.0552 0.3454 0.2500
2 Fe 0.3333 0.6667 0.7500
3 N 0.1906 0.4088 0.7500

Record 18
DFT (PBE) results for crystalline Zn2FeN at its relaxed geometry.

## Properties
For the total DFT energy (no corrections), the calculation gives -49.5 eV per cell. The formation energy from raw total energies comes out at 0.71 eV/atom. For the volume, the calculation gives 13.7 Å³ per atom. The size of the total moment comes out at 0.64 μB per atom.

abc: 2.8936 2.8936 22.5910
angles: 90.00 90.00 120.00
Space group R-3m (No. 166, hexagonal axes)
Asymmetric unit:
1 Zn 0.0000 0.0000 0.1120
2 Fe 0.0000 0.0000 0.0000
3 N 0.0000 0.0000 0.5000

Record 19
DFT (PBE) results for crystalline Zn2FeN at its relaxed geometry.

## Properties
For the total DFT energy (no corrections), the calculation gives -71.8 eV per cell. The formation energy from raw total energies comes out at 0.35 eV/atom. For the volume, the calculation gives 13.1 Å³ per atom. The size of the total moment comes out at 0.00 μB per atom.

abc: 7.690 7.690 3.555
angles: 90.00 90.00 90.00
Space group I-42d (No. 122)
Asymmetric unit:
1 Zn 0.130 0.250 0.125
2 Fe 0.000 0.000 0.500
3 N 0.000 0.000 0.000

Record 20
DFT (PBE) results for crystalline Zn2FeN2 at its relaxed geometry.

## Properties
For the total DFT energy (no corrections), the calculation gives -107.0 eV per cell. The formation energy from raw total energies comes out at 0.18 eV/atom. For the volume, the calculation gives 12.6 Å³ per atom. The size of the total moment comes out at 0.40 μB per atom.

abc: 11.676 3.582 7.312
angles: 90.00 124.43 90.00
Space group C2/m (No. 12)
Asymmetric unit:
1 Zn 0.083 0.000 0.345
2 Zn 0.167 0.500 0.768
3 Fe 0.124 0.500 0.123
4 N 0.008 0.500 0.812
5 N 0.187 0.000 0.671